1.
First-principles (GGA-PBE) data for a geometry-optimized NiHgBiW structure, as listed in OQMD via LeMat-Bulk.

```
NiHgBiW
1.0
0.0000 3.4098 3.4098
3.4098 0.0000 3.4098
3.4098 3.4098 0.0000
Hg W Ni Bi
1 1 1 1
Cartesian
1.7049 1.7049 1.7049
3.4098 3.4098 3.4098
5.1146 5.1146 5.1146
0.0000 0.0000 0.0000
```

E = -4.64 eV/atom
theoretical density = 13.66 g/cm³
space group = F-43m (216)

=====

2.
First-principles (GGA-PBE) data for a geometry-optimized YNiHgBi structure, as listed in OQMD via LeMat-Bulk.

```
YNiHgBi
1.0
-2.2066 2.0722 4.0280
-4.5204 -1.6311 1.5142
-0.4258 -2.6348 4.2737
Ni Hg Y Bi
1 1 1 1
Cartesian
-5.3646 -1.6453 7.3619
-1.7882 -0.5484 2.4540
-3.5764 -1.0969 4.9079
0.0000 0.0000 0.0000
```

E = -4.28 eV/atom
theoretical density = 10.23 g/cm³
space group = F-43m (216)

=====

3.
First-principles (GGA-PBE) data for a geometry-optimized ZnNiHgBi structure, as listed in OQMD via LeMat-Bulk.

```
ZnNiHgBi
1.0
0.0000 3.4343 3.4343
3.4343 0.0000 3.4343
3.4343 3.4343 0.0000
Zn Hg Bi Ni
1 1 1 1
Cartesian
3.4343 3.4343 3.4343
1.7171 1.7171 1.7171
0.0000 0.0000 0.0000
5.1514 5.1514 5.1514
```

E = -2.40 eV/atom
theoretical density = 10.94 g/cm³
space group = F-43m (216)

=====

4.
First-principles (GGA-PBE) data for a geometry-optimized HgBiO3 structure, as listed in OQMD via LeMat-Bulk.

```
HgBiO3
1.0
-3.0891 4.1310 3.0002
0.7959 5.8068 -1.1206
-4.2527 3.1879 -2.7130
Bi O Hg
2 6 2
Cartesian
-3.2730 6.5629 -0.4167
0.0000 0.0000 0.0000
-5.1630 7.0579 0.6442
-4.2449 4.6675 -1.0535
-3.9913 7.4539 -2.3227
-2.5546 5.6719 1.4893
-2.3010 8.4583 0.2201
-1.3829 6.0678 -1.4776
-4.9094 9.8443 -0.6250
-1.6365 3.2814 -0.2083
```

E = -4.51 eV/atom
theoretical density = 10.27 g/cm³
space group = R-3c (167)

=====

5.
First-principles (GGA-PBE) data for a geometry-optimized HgBiO3 structure, as listed in OQMD via LeMat-Bulk.

```
HgBiO3
1.0
-4.1369 -3.5567 -2.1329
3.8737 -2.1690 -3.8967
2.2529 -5.9493 5.5511
Hg O Bi
4 12 4
Cartesian
1.4284 -7.1963 1.3388
5.3551 -6.5701 0.4163
-3.3654 -5.1048 -0.8948
0.5613 -4.4785 -1.8173
3.4531 -8.1733 1.8352
1.6964 -2.8123 -0.4922
2.5376 -4.8388 -3.0054
2.0689 -6.6136 4.0685
-0.5479 -6.8361 2.5269
-0.0792 -5.0613 -4.5470
1.2391 -4.4221 2.0237
0.7506 -7.2528 -2.5022
-0.6335 -5.6931 -0.2689
0.2933 -8.8626 0.0137
2.6232 -5.9818 -0.2097
-1.4634 -3.5016 -2.3137
3.0633 -4.0591 0.8272
-2.0685 -1.7783 -1.0664
1.9369 -1.0845 -1.9484
-0.9420 -4.7530 1.7091
```

E = -4.50 eV/atom
theoretical density = 10.40 g/cm³
space group = Pnma (62)

=====

6.
First-principles (GGA-PBE) data for a geometry-optimized HgBiO3 structure, as listed in OQMD via LeMat-Bulk.

```
HgBiO3
1.0
4.2365 0.0000 0.0000
0.0000 4.2365 0.0000
0.0000 0.0000 4.2902
Bi O Hg
1 3 1
Cartesian
2.1182 2.1182 2.4281
2.1182 0.0000 2.7278
2.1182 2.1182 0.3512
0.0000 2.1182 2.7278
0.0000 0.0000 4.2065
```

E = -4.26 eV/atom
theoretical density = 9.87 g/cm³
space group = P4mm (99)

=====

7.
First-principles (GGA-PBE) data for a geometry-optimized Hg2Bi2O5 structure, as listed in OQMD via LeMat-Bulk.

```
Hg2Bi2O5
1.0
-8.2805 -0.9976 -1.1886
0.0850 -3.4785 2.3271
-0.7663 2.2753 3.4290
Hg O Bi
2 5 2
Cartesian
-2.2327 -0.8295 2.6065
-6.7291 -1.3712 1.9611
-4.4809 -1.1004 2.2838
-1.3352 -1.9052 0.9658
-1.7609 0.9717 1.5167
-6.8603 -2.5709 0.1728
-7.2859 0.3060 0.7237
0.0000 0.0000 0.0000
-4.1403 -0.4988 -0.5943
```

E = -3.91 eV/atom
theoretical density = 10.11 g/cm³
space group = P4/mmm (123)

=====

8.
First-principles (GGA-PBE) data for a geometry-optimized HgBiO3 structure, as listed in OQMD via LeMat-Bulk.

```
HgBiO3
1.0
3.7256 0.0000 0.0000
0.0000 3.7256 0.0000
0.0000 0.0000 5.5329
O Bi Hg
3 1 1
Cartesian
0.0000 1.8628 3.9205
1.8628 0.0000 3.9205
1.8628 1.8628 0.4830
0.0000 0.0000 5.1759
1.8628 1.8628 2.5456
```

E = -4.31 eV/atom
theoretical density = 9.89 g/cm³
space group = P4mm (99)

=====

9.
First-principles (GGA-PBE) data for a geometry-optimized HgBiO3 structure, as listed in OQMD via LeMat-Bulk.

```
HgBiO3
1.0
3.0223 -1.7450 -4.6520
-3.0223 -1.7450 -4.6520
0.0000 3.4899 -4.6520
Hg O Bi
2 6 2
Cartesian
0.0000 0.0000 -6.9780
0.0000 0.0000 0.0000
0.7471 1.7450 -5.8150
1.8847 0.2255 -8.1410
-0.7471 -1.7449 -8.1410
1.1376 -1.5195 -5.8150
-1.1376 1.5195 -8.1410
-1.8847 -0.2255 -5.8150
0.0000 0.0000 -10.4670
0.0000 0.0000 -3.4890
```

E = -4.25 eV/atom
theoretical density = 10.32 g/cm³
space group = R-3c (167)

=====

10.
First-principles (GGA-PBE) data for a geometry-optimized Hg2Bi2O5 structure, as listed in OQMD via LeMat-Bulk.

```
Hg2Bi2O5
1.0
-4.2768 1.9821 -7.5690
-2.9593 -2.6864 0.9687
-2.0650 2.9766 1.9463
Bi Hg O
2 2 5
Cartesian
-5.7015 1.6232 -4.1869
-3.5997 0.6491 -0.4671
0.0000 0.0000 0.0000
-2.1384 0.9911 -3.7845
-4.6103 3.1465 -5.3587
-2.1787 -1.0192 -0.7528
-5.0574 0.3149 -5.8475
-4.6506 1.1362 -2.3270
-1.7315 1.8123 -0.2640
```

E = -4.28 eV/atom
theoretical density = 9.90 g/cm³
space group = P4/mmm (123)

=====

11.
First-principles (GGA-PBE) data for a geometry-optimized HgBiPO structure, as listed in OQMD via LeMat-Bulk.

```
HgBiPO
1.0
4.1204 0.0000 0.0000
0.0000 4.1204 0.0000
0.0000 0.0000 9.1606
O P Bi Hg
2 2 2 2
Cartesian
2.0602 2.0602 0.0000
0.0000 0.0000 0.0000
0.0000 2.0602 6.3988
2.0602 0.0000 2.7618
0.0000 2.0602 1.1923
2.0602 0.0000 7.9683
0.0000 0.0000 4.5803
2.0602 2.0602 4.5803
```

E = -3.91 eV/atom
theoretical density = 9.75 g/cm³
space group = P4/nmm (129)

=====

12.
First-principles (GGA-PBE) data for a geometry-optimized HgBiPO structure, as listed in OQMD via LeMat-Bulk.

```
HgBiPO
1.0
-4.3235 1.9743 0.5105
-2.0282 -4.2876 -0.5951
0.3816 -1.3580 8.4846
P Bi Hg O
2 2 2 2
Cartesian
-0.7601 -3.0477 5.3499
-2.0341 0.5331 3.0924
0.1908 -0.6790 4.2423
-2.9850 -1.8357 4.2000
-2.1581 0.9742 0.3365
-0.6361 -3.4889 8.1059
0.0000 0.0000 0.0000
-3.1759 -1.1566 -0.0423
```

E = -3.41 eV/atom
theoretical density = 7.71 g/cm³
space group = P4/nmm (129)

=====

13.
First-principles (GGA-PBE) data for a geometry-optimized HgBiPO structure, as listed in OQMD via LeMat-Bulk.

```
HgBiPO
1.0
-0.6243 1.8230 3.4422
5.3075 -2.8797 2.4878
3.8953 5.3444 -2.1239
Bi P Hg O
2 2 2 2
Cartesian
2.4502 -0.9728 0.9596
5.1775 1.2764 0.2631
4.9683 0.5285 2.8817
4.2553 4.6443 0.5726
8.3941 3.6013 1.8757
2.0857 3.2951 0.8936
2.9902 1.2064 -0.0965
7.2199 2.6404 -0.0888
```

E = -3.88 eV/atom
theoretical density = 8.47 g/cm³
space group = Pmc2_1 (26)

=====

14.
First-principles (GGA-PBE) data for a geometry-optimized HgBiPO structure, as listed in OQMD via LeMat-Bulk.

```
HgBiPO
1.0
-3.1070 -1.7316 2.7305
4.0279 0.5776 4.9496
-2.1796 5.6652 1.1126
Bi O P Hg
2 2 2 2
Cartesian
1.0114 5.8402 4.8546
-0.0469 2.6995 1.6586
-0.7615 4.7021 5.7975
-1.2054 1.6496 3.3566
2.4199 2.6880 4.4582
-1.1889 5.1594 1.9191
-2.4387 4.9684 4.0580
0.1022 2.3439 5.2848
```

E = -3.90 eV/atom
theoretical density = 8.55 g/cm³
space group = Pmc2_1 (26)

=====

15.
First-principles (GGA-PBE) data for a geometry-optimized HgBiTeO structure, as listed in OQMD via LeMat-Bulk.

```
HgBiTeO
1.0
-2.1893 -1.0328 -3.4565
-0.1782 -4.0073 1.3103
-8.9247 2.0455 5.0417
Hg O Te Bi
2 2 2 2
Cartesian
-5.1434 -2.2409 2.6395
-6.1489 -0.7537 0.2561
-0.6810 -3.2637 0.1186
-1.6866 -1.7765 -2.2648
-4.1893 -3.2269 -0.2461
-7.1030 0.2323 3.1417
-9.7104 -1.9615 2.8728
-1.5819 -1.0331 0.0227
```

E = -3.51 eV/atom
theoretical density = 9.87 g/cm³
space group = P4/nmm (129)

=====

16.
First-principles (GGA-PBE) data for a geometry-optimized HgBiTeO structure, as listed in OQMD via LeMat-Bulk.

```
HgBiTeO
1.0
5.1938 0.0000 0.0000
0.0000 9.4703 0.0000
0.0000 0.0000 5.7913
O Hg Bi Te
2 2 2 2
Cartesian
2.5969 8.7610 3.9789
2.5969 0.7093 1.0833
0.0000 6.4453 3.6424
0.0000 3.0251 0.7468
2.5969 8.2173 0.2395
2.5969 1.2530 3.1351
0.0000 6.4434 0.7740
0.0000 3.0270 3.6696
```

E = -3.48 eV/atom
theoretical density = 6.45 g/cm³
space group = Pmc2_1 (26)

=====

17.
First-principles (GGA-PBE) data for a geometry-optimized HgBiTeO structure, as listed in OQMD via LeMat-Bulk.

```
HgBiTeO
1.0
7.5604 0.0000 -0.2499
0.0000 7.8784 0.0000
-1.1274 0.0000 6.7511
Hg Te O Bi
4 4 4 4
Cartesian
6.3445 1.9446 3.0812
0.0884 5.9338 3.4200
0.6521 5.8838 0.0445
5.7808 1.9946 6.4567
5.8950 7.4446 1.1563
1.1017 3.5054 1.9693
5.3313 4.3730 4.5319
0.5380 0.4338 5.3448
2.8028 6.5759 2.6693
4.1938 2.6367 0.4563
3.6302 1.3025 3.8319
2.2391 5.2418 6.0448
3.1178 0.9199 1.7185
2.5541 3.0193 5.0941
3.8789 4.8591 1.4071
3.3152 6.9585 4.7826
```

E = -3.50 eV/atom
theoretical density = 9.19 g/cm³
space group = P2_1/c (14)

=====

18.
First-principles (GGA-PBE) data for a geometry-optimized YHg2BiO6 structure, as listed in OQMD via LeMat-Bulk.

```
YHg2BiO6
1.0
2.8971 1.6726 4.9002
-2.8971 1.6726 4.9002
0.0000 -3.3453 4.9002
O Hg Bi Y
6 2 1 1
Cartesian
-0.6821 -1.5795 6.1288
-1.0268 1.3805 6.1288
0.6778 1.6214 8.5318
1.0653 -1.3977 8.5318
-1.7431 -0.2237 8.5318
1.7089 0.1990 6.1288
0.0000 0.0000 11.1433
0.0000 0.0000 3.7059
0.0000 0.0000 7.3603
0.0000 0.0000 0.0208
```

E = -5.36 eV/atom
theoretical density = 9.27 g/cm³
space group = R3 (146)

=====

19.
First-principles (GGA-PBE) data for a geometry-optimized HgBiOs structure, as listed in OQMD via LeMat-Bulk.

```
HgBiOs
1.0
0.0000 3.2815 3.2815
3.2815 0.0000 3.2815
3.2815 3.2815 0.0000
Os Hg Bi
1 1 1
Cartesian
0.0000 0.0000 0.0000
4.9222 4.9222 4.9222
1.6407 1.6407 1.6407
```

E = -4.45 eV/atom
theoretical density = 14.09 g/cm³
space group = F-43m (216)

=====

20.
First-principles (GGA-PBE) data for a geometry-optimized HgBiOs2 structure, as listed in OQMD via LeMat-Bulk.

```
HgBiOs2
1.0
0.0000 3.3596 3.3596
3.3596 0.0000 3.3596
3.3596 3.3596 0.0000
Os Hg Bi
2 1 1
Cartesian
0.0000 0.0000 0.0000
5.0395 5.0395 5.0395
1.6798 1.6798 1.6798
3.3596 3.3596 3.3596
```

E = -5.50 eV/atom
theoretical density = 17.30 g/cm³
space group = F-43m (216)

=====

21.
First-principles (GGA-PBE) data for a geometry-optimized Hg2BiOs structure, as listed in OQMD via LeMat-Bulk.

```
Hg2BiOs
1.0
-4.1641 -2.5703 0.8810
-1.8982 -0.1596 4.5927
-4.2325 2.3993 1.0255
Hg Bi Os
2 1 1
Cartesian
0.0000 0.0000 0.0000
-7.7211 -0.2480 4.8745
-5.1474 -0.1653 3.2496
-2.5737 -0.0827 1.6248
```

E = -3.05 eV/atom
theoretical density = 15.29 g/cm³
space group = F-43m (216)

=====

22.
First-principles (GGA-PBE) data for a geometry-optimized HgBi2Pb structure, as listed in OQMD via LeMat-Bulk.

```
HgBi2Pb
1.0
0.0000 3.8995 3.8995
3.8995 0.0000 3.8995
3.8995 3.8995 0.0000
Bi Pb Hg
2 1 1
Cartesian
0.0000 0.0000 0.0000
5.8493 5.8493 5.8493
1.9498 1.9498 1.9498
3.8995 3.8995 3.8995
```

E = -2.96 eV/atom
theoretical density = 11.56 g/cm³
space group = F-43m (216)

=====

23.
First-principles (GGA-PBE) data for a geometry-optimized HgBiPd structure, as listed in OQMD via LeMat-Bulk.

```
HgBiPd
1.0
4.6486 -0.6676 0.2080
1.9405 -1.8327 3.8696
1.7547 -4.3602 -0.0896
Hg Pd Bi
1 1 1
Cartesian
6.2578 -5.1454 2.9910
0.0000 0.0000 0.0000
2.0859 -1.7151 0.9970
```

E = -3.33 eV/atom
theoretical density = 11.66 g/cm³
space group = F-43m (216)

=====

24.
First-principles (GGA-PBE) data for a geometry-optimized HgBiPd2 structure, as listed in OQMD via LeMat-Bulk.

```
HgBiPd2
1.0
2.4061 1.3701 3.9775
-1.7415 -1.1033 4.3860
2.2443 -3.3117 2.7356
Hg Bi Pd
1 1 2
Cartesian
0.7272 -0.7612 2.7748
1.4544 -1.5225 5.5496
2.1817 -2.2837 8.3244
0.0000 0.0000 0.0000
```

E = -3.73 eV/atom
theoretical density = 12.84 g/cm³
space group = F-43m (216)

=====

25.
First-principles (GGA-PBE) data for a geometry-optimized PmHgBi structure, as listed in OQMD via LeMat-Bulk.

```
PmHgBi
1.0
0.0000 3.7188 3.7188
3.7188 0.0000 3.7188
3.7188 3.7188 0.0000
Pm Hg Bi
1 1 1
Cartesian
5.5783 5.5783 5.5783
1.8594 1.8594 1.8594
0.0000 0.0000 0.0000
```

E = -3.22 eV/atom
theoretical density = 8.95 g/cm³
space group = F-43m (216)

=====

26.
First-principles (GGA-PBE) data for a geometry-optimized PrHgBi structure, as listed in OQMD via LeMat-Bulk.

```
PrHgBi
1.0
0.0000 3.7530 3.7530
3.7530 0.0000 3.7530
3.7530 3.7530 0.0000
Bi Hg Pr
1 1 1
Cartesian
0.0000 0.0000 0.0000
1.8765 1.8765 1.8765
5.6296 5.6296 5.6296
```

E = -3.26 eV/atom
theoretical density = 8.65 g/cm³
space group = F-43m (216)